Entry 1:
Bi2Te3 after structural relaxation, computed with PBE.

Volume = 36.35 Å³ per atom
E_tot = -3.6771 eV/atom
Uncorrected formation energy = -0.24 eV/atom
Fermi-level density of states = 0.00 states/eV/cell

Cell and atoms, written as CIF:
```
data_Bi2Te3
_chemical_formula_sum 'Bi6 Te9'
_cell_length_a 4.4468
_cell_length_b 4.4468
_cell_length_c 31.8367
_cell_angle_alpha 90.00
_cell_angle_beta 90.00
_cell_angle_gamma 120.00
_space_group_name_H-M_alt 'R -3 m'
_space_group_IT_number 166
_space_group_name_Hall '-R 3 2"'
loop_
_atom_site_label
_atom_site_fract_x
_atom_site_fract_y
_atom_site_fract_z
_atom_site_occupancy
Bi1 0.0000 0.0000 0.1023 1
Te1 0.0000 0.0000 0.2852 1
Te2 0.0000 0.0000 0.5000 1
```



Entry 2:
Bi2Te3 after structural relaxation, computed with PBE.

Volume = 43.19 Å³ per atom
E_tot = -3.3061 eV/atom
Uncorrected formation energy = 0.13 eV/atom
Fermi-level density of states = 3.78 states/eV/cell

Cell and atoms, written as CIF:
```
data_Bi2Te3
_chemical_formula_sum 'Bi2 Te3'
_cell_length_a 5.729
_cell_length_b 5.729
_cell_length_c 6.580
_cell_angle_alpha 90.00
_cell_angle_beta 90.00
_cell_angle_gamma 90.00
_space_group_name_H-M_alt 'P 4 m m'
_space_group_IT_number 99
loop_
_space_group_symop_operation_xyz
'x,y,z'
'-y,x,z'
'-x,-y,z'
'y,-x,z'
'-x,y,z'
'y,x,z'
'x,-y,z'
'-y,-x,z'
loop_
_atom_site_label
_atom_site_fract_x
_atom_site_fract_y
_atom_site_fract_z
_atom_site_occupancy
Bi1 0.000 0.000 0.000 1
Bi2 0.500 0.500 0.008 1
Te1 0.000 0.000 0.429 1
Te2 0.000 0.500 0.805 1
```



Entry 3:
Bi2Te3 after structural relaxation, computed with PBE.

Volume = 37.53 Å³ per atom
E_tot = -3.6749 eV/atom
Uncorrected formation energy = -0.24 eV/atom
Fermi-level density of states = 0.00 states/eV/cell

Cell and atoms, written as CIF:
```
data_Bi2Te3
_chemical_formula_sum 'Bi2 Te3'
_cell_length_a 4.428
_cell_length_b 4.430
_cell_length_c 11.038
_cell_angle_alpha 89.47
_cell_angle_beta 89.67
_cell_angle_gamma 60.06
_space_group_name_H-M_alt 'P -1'
_space_group_IT_number 2
loop_
_space_group_symop_operation_xyz
'x,y,z'
'-x,-y,-z'
loop_
_atom_site_label
_atom_site_fract_x
_atom_site_fract_y
_atom_site_fract_z
_atom_site_occupancy
Bi1 0.166 0.163 0.187 1
Te1 0.168 0.174 0.657 1
Te2 0.500 0.500 0.000 1
```



Entry 4:
Bi2Te3 after structural relaxation, computed with PBE.

Volume = 39.39 Å³ per atom
E_tot = -3.5054 eV/atom
Uncorrected formation energy = -0.07 eV/atom
Fermi-level density of states = 2.78 states/eV/cell

Cell and atoms, written as CIF:
```
data_Bi2Te3
_chemical_formula_sum 'Bi4 Te6'
_cell_length_a 9.407
_cell_length_b 6.253
_cell_length_c 6.974
_cell_angle_alpha 90.00
_cell_angle_beta 106.25
_cell_angle_gamma 90.00
_space_group_name_H-M_alt 'C 1 2/m 1'
_space_group_IT_number 12
loop_
_space_group_symop_operation_xyz
'x,y,z'
'-x,-y,-z'
'-x,y,-z'
'x,-y,z'
'x+1/2,y+1/2,z'
'-x+1/2,-y+1/2,-z'
'-x+1/2,y+1/2,-z'
'x+1/2,-y+1/2,z'
loop_
_atom_site_label
_atom_site_fract_x
_atom_site_fract_y
_atom_site_fract_z
_atom_site_occupancy
Bi1 0.157 0.000 0.151 1
Te1 0.000 0.000 0.500 1
Te2 0.197 0.500 0.199 1
```



Entry 5:
Bi5Te after structural relaxation, computed with PBE.

Volume = 31.17 Å³ per atom
E_tot = -3.6449 eV/atom
Uncorrected formation energy = 0.11 eV/atom
Fermi-level density of states = 7.62 states/eV/cell

Cell and atoms, written as CIF:
```
data_Bi5Te
_chemical_formula_sum 'Bi10 Te2'
_cell_length_a 5.606
_cell_length_b 16.997
_cell_length_c 3.926
_cell_angle_alpha 90.00
_cell_angle_beta 90.00
_cell_angle_gamma 90.00
_space_group_name_H-M_alt 'C m m m'
_space_group_IT_number 65
_space_group_name_Hall '-C 2 2'
loop_
_atom_site_label
_atom_site_fract_x
_atom_site_fract_y
_atom_site_fract_z
_atom_site_occupancy
Bi1 0.000 0.000 0.000 1
Bi2 0.000 0.172 0.500 1
Bi3 0.000 0.332 0.000 1
Te1 0.000 0.500 0.500 1
```



Entry 6:
Bi8Te9 after structural relaxation, computed with PBE.

Volume = 36.20 Å³ per atom
E_tot = -3.7007 eV/atom
Uncorrected formation energy = -0.21 eV/atom
Fermi-level density of states = 3.45 states/eV/cell

Cell and atoms, written as CIF:
```
data_Bi8Te9
_chemical_formula_sum 'Bi24 Te27'
_cell_length_a 4.4730
_cell_length_b 4.4730
_cell_length_c 106.5332
_cell_angle_alpha 90.00
_cell_angle_beta 90.00
_cell_angle_gamma 120.00
_space_group_name_H-M_alt 'R -3 m'
_space_group_IT_number 166
_space_group_name_Hall '-R 3 2"'
loop_
_atom_site_label
_atom_site_fract_x
_atom_site_fract_y
_atom_site_fract_z
_atom_site_occupancy
Bi1 0.0000 0.0000 0.0870 1
Bi2 0.0000 0.0000 0.1475 1
Bi3 0.0000 0.0000 0.3254 1
Bi4 0.0000 0.0000 0.3822 1
Te1 0.0000 0.0000 0.0326 1
Te2 0.0000 0.0000 0.2019 1
Te3 0.0000 0.0000 0.2655 1
Te4 0.0000 0.0000 0.4363 1
Te5 0.0000 0.0000 0.5000 1
```